--- i ---
Compound: AsS3Cl
Source: the Alexandria database
Functional: PBE
Structure: relaxed

Lattice parameters (Å, degrees): 4.6479 4.6479 4.6479 90.00 90.00 90.00
With the nearest neighbours (Å) after each atom.
Element x y z (fractional)
S 0.0000 0.5000 0.0000  2 Cl 2.32
S 0.5000 0.0000 0.0000  2 Cl 2.32
S 0.0000 0.0000 0.5000  2 Cl 2.32
As 0.5000 0.5000 0.5000  12 S 3.29
Cl 0.0000 0.0000 0.0000  6 S 2.32

Results
The density of states at the Fermi level is 2.90 states/eV/f.u. The calculated volume is 20.082 Å³ per atom.

***

--- ii ---
Compound: AsS3Cl
Source: the Alexandria database
Functional: PBE
Structure: relaxed

Lattice parameters (Å, degrees): 4.7625 4.7625 4.7625 90.00 90.00 90.00
With the nearest neighbours (Å) after each atom.
Element x y z (fractional)
S 0.0000 0.5000 0.0000  2 As 2.38
Cl 0.5000 0.5000 0.5000  12 S 3.37
S 0.5000 0.0000 0.0000  2 As 2.38
S 0.0000 0.0000 0.5000  2 As 2.38
As 0.0000 0.0000 0.0000  6 S 2.38

Results
The density of states at the Fermi level is 7.35 states/eV/f.u. The calculated volume is 21.604 Å³ per atom.

***

--- iii ---
Compound: AsS3Cl
Source: the Alexandria database
Functional: PBE
Structure: relaxed

Lattice parameters (Å, degrees): 4.6610 7.7083 8.4175 90.00 90.00 90.00
With the nearest neighbours (Å) after each atom.
Element x y z (fractional)
S 0.2683 0.9159 0.2992  2 S 2.10
As 0.2791 0.7130 0.7992  1 Cl 2.27, 2 S 2.36
Cl 0.0113 0.9595 0.7992  1 As 2.27
As 0.7791 0.6398 0.2992  1 Cl 2.27, 2 S 2.36
S 0.0316 0.5346 0.9813  1 S 2.10
Cl 0.5114 0.3933 0.2992  1 As 2.27
S 0.0316 0.5346 0.6172  1 S 2.10
S 0.5316 0.8182 0.1172  1 S 2.10
S 0.5315 0.8182 0.4813  1 S 2.10
S 0.7683 0.4369 0.7992  2 S 2.10

Results
The calculated volume is 30.243 Å³ per atom.

***

The least stable of them is i.

***

--- i ---
Compound: As2S2Cl
Source: the Alexandria database
Functional: PBE
Structure: relaxed

Lattice parameters (Å, degrees): 6.3563 6.3563 8.0396 113.29 113.29 90.00
With the nearest neighbours (Å) after each atom.
Element x y z (fractional)
Cl 0.9979 0.9979 0.9958  2 As 3.03
S 0.1492 0.4016 0.8031  2 As 2.30
S 0.6539 0.4016 0.8031  2 As 2.30
As 0.4440 0.1898 0.3796  2 S 2.30
Cl 0.2479 0.7479 0.4958  2 As 3.03
As 0.4398 0.6856 0.8796  2 S 2.30
S 0.6516 0.8992 0.3031  2 As 2.30
As 0.9356 0.1898 0.3796  2 S 2.30
S 0.6516 0.4039 0.3031  2 As 2.30
As 0.4398 0.1940 0.8796  2 S 2.30

Results
The density of states at the Fermi level is 0.90 states/eV/f.u. The calculated volume is 26.931 Å³ per atom.

***

--- ii ---
Compound: As2S2Cl
Source: the Alexandria database
Functional: PBE
Structure: relaxed

Lattice parameters (Å, degrees): 5.4795 5.3920 8.2329 125.04 103.29 81.11
With the nearest neighbours (Å) after each atom.
Element x y z (fractional)
S 0.7033 0.6960 0.0119  2 As 2.27
As 0.6620 0.1949 0.8699  2 S 2.27
As 0.3380 0.8051 0.1301  2 S 2.27
Cl 0.5000 0.0000 0.5000  2 As 2.56
S 0.2967 0.3040 0.9881  2 As 2.27

Results
The density of states at the Fermi level is 0.84 states/eV/f.u. The calculated volume is 38.751 Å³ per atom.

***

The least stable of them is i.

***

--- i ---
Compound: SrAsSCl2
Source: the Alexandria database
Functional: PBE
Structure: relaxed

Lattice parameters (Å, degrees): 5.0030 5.0030 5.2146 90.00 90.00 90.00
With the nearest neighbours (Å) after each atom.
Element x y z (fractional)
Sr 0.5000 0.5000 0.5000  4 S 3.54, 8 Cl 3.61
Cl 0.5000 0.0000 0.0000  2 As 2.50
Cl 0.0000 0.5000 0.0000  2 As 2.50
S 0.0000 0.0000 0.5000  2 As 2.61
As 0.0000 0.0000 0.0000  4 Cl 2.50, 2 S 2.61

Results
The density of states at the Fermi level is 0.32 states/eV/f.u. The calculated volume is 26.105 Å³ per atom.

***

--- ii ---
Compound: SrAsSCl2
Source: the Alexandria database
Functional: PBE
Structure: relaxed

Lattice parameters (Å, degrees): 5.4962 5.4962 6.0930 90.00 90.00 90.00
With the nearest neighbours (Å) after each atom.
Element x y z (fractional)
Cl 0.0000 0.5000 0.0000  2 Sr 2.75
Sr 0.0000 0.0000 0.0000  4 Cl 2.75, 2 S 3.05
S 0.0000 0.0000 0.5000  2 Sr 3.05
Cl 0.5000 0.0000 0.0000  2 Sr 2.75
As 0.5000 0.5000 0.5000  4 S 3.89, 8 Cl 4.10

Results
The density of states at the Fermi level is 3.49 states/eV/f.u. The calculated volume is 36.811 Å³ per atom.

***

The least stable of them is ii.

***

--- i ---
Compound: TaAsS2Cl
Source: the Alexandria database
Functional: PBE
Structure: relaxed

Lattice parameters (Å, degrees): 4.8270 4.8270 4.8822 90.00 90.00 90.00
With the nearest neighbours (Å) after each atom.
Element x y z (fractional)
S 0.5000 0.0000 0.0000  2 Ta 2.41
Cl 0.0000 0.0000 0.5000  2 Ta 2.44
S 0.0000 0.5000 0.0000  2 Ta 2.41
As 0.5000 0.5000 0.5000  4 Cl 3.41, 8 S 3.43
Ta 0.0000 0.0000 0.0000  4 S 2.41, 2 Cl 2.44

Results
The density of states at the Fermi level is 2.71 states/eV/f.u. The calculated volume is 22.751 Å³ per atom.

***

--- ii ---
Compound: TaAsS2Cl
Source: the Alexandria database
Functional: PBE
Structure: relaxed

Lattice parameters (Å, degrees): 4.8255 4.8255 4.6282 90.00 90.00 90.00
With the nearest neighbours (Å) after each atom.
Element x y z (fractional)
S 0.5000 0.0000 0.0000  2 As 2.41
As 0.0000 0.0000 0.0000  2 Cl 2.31, 4 S 2.41
Ta 0.5000 0.5000 0.5000  8 S 3.34, 4 Cl 3.41
S 0.0000 0.5000 0.0000  2 As 2.41
Cl 0.0000 0.0000 0.5000  2 As 2.31

Results
The density of states at the Fermi level is 5.72 states/eV/f.u. The calculated volume is 21.554 Å³ per atom.

***

The least stable of them is ii.

***

--- i ---
Compound: AsWSCl2
Source: the Alexandria database
Functional: PBE
Structure: relaxed

Lattice parameters (Å, degrees): 4.8597 4.8597 4.6919 90.00 90.00 90.00
With the nearest neighbours (Å) after each atom.
Element x y z (fractional)
W 0.0000 0.0000 0.0000  2 S 2.35, 4 Cl 2.43
Cl 0.5000 0.0000 0.0000  2 W 2.43
S 0.0000 0.0000 0.5000  2 W 2.35
Cl 0.0000 0.5000 0.0000  2 W 2.43
As 0.5000 0.5000 0.5000  8 Cl 3.38, 4 S 3.44

Results
The density of states at the Fermi level is 3.60 states/eV/f.u. The calculated volume is 22.162 Å³ per atom.

***

--- ii ---
Compound: AsWSCl2
Source: the Alexandria database
Functional: PBE
Structure: relaxed

Lattice parameters (Å, degrees): 4.7890 4.7890 5.2341 90.00 90.00 90.00
With the nearest neighbours (Å) after each atom.
Element x y z (fractional)
S 0.0000 0.0000 0.5000  2 As 2.62
Cl 0.5000 0.0000 0.0000  2 As 2.39
W 0.5000 0.5000 0.5000  4 S 3.39, 8 Cl 3.55
As 0.0000 0.0000 0.0000  4 Cl 2.39, 2 S 2.62
Cl 0.0000 0.5000 0.0000  2 As 2.39

Results
The density of states at the Fermi level is 5.46 states/eV/f.u. The calculated volume is 24.008 Å³ per atom.

***

The least stable of them is ii.

***

--- i ---
Compound: ZrAsS2Cl
Source: the Alexandria database
Functional: PBE
Structure: relaxed

Lattice parameters (Å, degrees): 4.8334 4.8334 4.6980 90.00 90.00 90.00
With the nearest neighbours (Å) after each atom.
Element x y z (fractional)
As 0.0000 0.0000 0.0000  2 Cl 2.35, 4 S 2.42
S 0.0000 0.5000 0.0000  2 As 2.42
Zr 0.5000 0.5000 0.5000  8 S 3.37, 4 Cl 3.42
Cl 0.0000 0.0000 0.5000  2 As 2.35
S 0.5000 0.0000 0.0000  2 As 2.42

Results
The density of states at the Fermi level is 5.03 states/eV/f.u. The calculated volume is 21.951 Å³ per atom.

***

--- ii ---
Compound: ZrAsS2Cl
Source: the Alexandria database
Functional: PBE
Structure: relaxed

Lattice parameters (Å, degrees): 5.0313 5.0313 5.0272 90.00 90.00 90.00
With the nearest neighbours (Å) after each atom.
Element x y z (fractional)
Cl 0.0000 0.0000 0.5000  2 Zr 2.51
S 0.5000 0.0000 0.0000  2 Zr 2.52
Zr 0.0000 0.0000 0.0000  2 Cl 2.51, 4 S 2.52
As 0.5000 0.5000 0.5000  8 S 3.56, 4 Cl 3.56
S 0.0000 0.5000 0.0000  2 Zr 2.52

Results
The density of states at the Fermi level is 3.28 states/eV/f.u. The calculated volume is 25.452 Å³ per atom.

***

The least stable of them is i.